No. 1
# CsSbBr6

Crystalline CsSbBr6 at its relaxed geometry (GGA-PBE, Alexandria).

```
8
Lattice="8.851 0.000 0.000 4.426 7.666 0.000 4.426 2.555 7.227" Properties=species:S:1:pos:R:3 pbc="T T T"
Cs 8.851 5.110 3.614
Sb 0.000 0.000 0.000
Br 11.441 6.606 1.499
Br 8.851 2.120 1.499
Br 8.851 8.101 5.728
Br 6.261 3.615 5.728
Br 6.261 6.606 1.499
Br 11.441 3.615 5.728
```

Summary:
* formation energy (no corrections): -688 meV per atom
* space-group type: Fm-3m
* electronic total energy: -2.565 eV per atom
* size of the total moment: 0.00 μB/f.u.

---

No. 2
# CsSb2Br7

Crystalline CsSb2Br7 at its relaxed geometry (GGA-PBE, Alexandria).

```
10
Lattice="5.657 0.000 0.000 0.000 8.563 0.145 0.000 -3.734 7.707" Properties=species:S:1:pos:R:3 pbc="T T T"
Cs 0.000 0.000 0.000
Sb 2.828 4.984 2.346
Sb 2.828 -0.155 5.507
Br 0.000 4.993 2.341
Br 0.000 -0.164 5.512
Br 2.828 -0.785 2.505
Br 2.828 5.614 5.347
Br 2.828 2.590 0.430
Br 2.828 2.239 7.422
Br 2.828 2.414 3.926
```

Summary:
* formation energy (no corrections): -790 meV per atom
* space-group type: Cmmm
* electronic total energy: -2.871 eV per atom
* size of the total moment: 0.00 μB/f.u.

---

No. 3
# Cs2SbBr

Crystalline Cs2SbBr at its relaxed geometry (GGA-PBE, Alexandria).

```
8
Lattice="-0.704 8.251 -5.409 -3.241 -5.315 -7.686 -6.690 2.088 -4.987" Properties=species:S:1:pos:R:3 pbc="T T T"
Cs -2.494 4.732 -5.403
Cs -3.810 -1.486 -6.911
Cs -6.608 2.485 -8.913
Cs -8.359 4.317 -14.935
Sb 0.000 0.000 0.000
Sb -4.683 5.903 -8.472
Br -1.973 1.468 -6.547
Br -5.952 -0.880 -9.610
```

Summary:
* formation energy (no corrections): -649 meV per atom
* space-group type: I-42d
* electronic total energy: -2.525 eV per atom
* size of the total moment: 2.00 μB/f.u.

---

No. 4
# Cs2SbBr7

Crystalline Cs2SbBr7 at its relaxed geometry (GGA-PBE, Alexandria).

```
10
Lattice="8.298 0.000 0.000 0.000 8.298 0.000 4.149 4.149 5.902" Properties=species:S:1:pos:R:3 pbc="T T T"
Cs 8.298 4.149 2.951
Cs 4.149 8.298 2.951
Sb 0.000 0.000 0.000
Br 4.149 4.149 0.000
Br 4.149 4.149 3.227
Br 8.298 8.298 2.675
Br 1.890 1.890 0.000
Br 6.408 6.408 0.000
Br 6.408 1.890 0.000
Br 1.890 6.408 0.000
```

Summary:
* formation energy (no corrections): -980 meV per atom
* space-group type: I4/mmm
* electronic total energy: -2.734 eV per atom
* size of the total moment: 0.00 μB/f.u.

---

No. 5
# Cs3SbBr8

Crystalline Cs3SbBr8 at its relaxed geometry (GGA-PBE, Alexandria).

```
12
Lattice="8.146 0.000 0.000 0.000 8.146 0.000 -4.073 -4.073 8.184" Properties=species:S:1:pos:R:3 pbc="T T T"
Cs 4.073 0.000 4.092
Cs 4.073 4.073 0.000
Cs 0.000 4.073 4.092
Sb 0.000 0.000 0.000
Br 1.724 1.724 1.749
Br 1.724 6.422 1.749
Br -2.349 2.349 6.435
Br -2.349 -2.349 6.435
Br 6.422 6.422 1.749
Br 6.422 1.724 1.749
Br 2.349 -2.349 6.435
Br 2.349 2.349 6.435
```

Summary:
* formation energy (no corrections): -925 meV per atom
* space-group type: I4/mmm
* electronic total energy: -2.597 eV per atom
* size of the total moment: 1.85 μB/f.u.

---

No. 6
# CsSbBr6

Crystalline CsSbBr6 at its relaxed geometry (GGA-PBE, Alexandria).

```
8
Lattice="7.043 1.334 1.817 -1.838 6.929 1.818 0.984 1.567 7.184" Properties=species:S:1:pos:R:3 pbc="T T T"
Cs 2.603 4.131 1.818
Sb 0.000 0.000 0.000
Br 3.940 6.255 4.770
Br 6.062 3.203 7.329
Br 0.267 6.853 7.329
Br 0.128 6.627 3.492
Br 2.250 3.575 6.050
Br 5.922 2.976 3.491
```

Summary:
* formation energy (no corrections): -770 meV per atom
* space-group type: C2/m
* electronic total energy: -2.647 eV per atom
* size of the total moment: 0.00 μB/f.u.

---

No. 7
# Cs2SbBr5

Crystalline Cs2SbBr5 at its relaxed geometry (GGA-PBE, Alexandria).

```
8
Lattice="-6.417 -3.914 -1.966 5.140 -5.828 -0.141 -0.450 3.776 6.783" Properties=species:S:1:pos:R:3 pbc="T T T"
Cs -3.759 -2.552 1.877
Cs 2.027 -3.507 2.777
Sb -0.452 3.759 6.779
Br 1.936 -1.655 6.194
Br -0.521 -0.575 2.709
Br -1.213 -5.488 1.945
Br -4.121 -0.622 5.243
Br -0.971 -7.275 -1.570
```

Summary:
* formation energy (no corrections): -1247 meV per atom
* space-group type: P1
* electronic total energy: -3.021 eV per atom
* size of the total moment: 0.00 μB/f.u.

---

No. 8
# Cs2ScSbBr6

Crystalline Cs2ScSbBr6 at its relaxed geometry (GGA-PBE, Alexandria).

```
10
Lattice="-2.697 0.837 -7.289 -5.231 -5.665 1.285 -8.343 2.115 -0.862" Properties=species:S:1:pos:R:3 pbc="T T T"
Cs -7.502 0.269 -5.576
Cs -8.769 -2.982 -1.289
Sb 0.000 0.000 0.000
Sc -3.964 -2.414 -3.002
Br -5.709 -0.609 -2.149
Br -10.562 -2.104 -4.717
Br -2.045 -1.245 -1.549
Br -5.884 -3.583 -4.455
Br -3.351 -0.840 -5.078
Br -4.578 -3.988 -0.926
```

Summary:
* formation energy (no corrections): -1312 meV per atom
* space-group type: I4/mmm
* electronic total energy: -3.532 eV per atom
* size of the total moment: 0.00 μB/f.u.

---

No. 9
# Cs2SbSeBr6

Crystalline Cs2SbSeBr6 at its relaxed geometry (GGA-PBE, Alexandria).

```
10
Lattice="-3.394 -7.056 2.427 0.366 -2.820 -7.688 3.567 -7.034 -1.620" Properties=species:S:1:pos:R:3 pbc="T T T"
Cs -0.671 -9.514 -0.912
Cs 1.209 -7.396 -5.969
Sb 0.000 0.000 0.000
Se -1.514 -4.938 -2.631
Br 1.013 -5.981 -2.128
Br -0.475 -10.930 -4.753
Br -0.728 -2.373 -1.264
Br -2.301 -7.503 -3.997
Br -2.491 -6.038 -0.004
Br -0.538 -3.838 -5.258
```

Summary:
* formation energy (no corrections): -894 meV per atom
* space-group type: I4/mmm
* electronic total energy: -2.830 eV per atom
* size of the total moment: 0.00 μB/f.u.

---

No. 10
# CsSbSe2Br

Crystalline CsSbSe2Br at its relaxed geometry (GGA-PBE, Alexandria).

```
5
Lattice="-4.579 2.558 -1.298 -2.849 -4.340 1.499 -0.365 2.142 5.509" Properties=species:S:1:pos:R:3 pbc="T T T"
Cs -3.897 0.180 2.855
Sb 0.000 0.000 0.000
Se -1.425 -2.170 0.749
Se -2.289 1.279 -0.649
Br -0.183 1.071 2.754
```

Summary:
* formation energy (no corrections): -603 meV per atom
* space-group type: P4/mmm
* electronic total energy: -3.327 eV per atom
* size of the total moment: 0.00 μB/f.u.

---

No. 11
# CsSbSe2Br

Crystalline CsSbSe2Br at its relaxed geometry (GGA-PBE, Alexandria).

```
5
Lattice="-4.800 0.128 3.062 -3.064 -0.180 -4.797 -0.012 -6.262 0.243" Properties=species:S:1:pos:R:3 pbc="T T T"
Cs 0.000 0.000 0.000
Sb -3.938 -3.157 -0.746
Se -1.532 -0.090 -2.398
Se -2.400 0.064 1.531
Br -0.006 -3.131 0.121
```

Summary:
* formation energy (no corrections): 874 meV per atom
* space-group type: P4/mmm
* electronic total energy: -1.849 eV per atom
* size of the total moment: 0.00 μB/f.u.

---

No. 12
# Cs2SiSbBr6

Crystalline Cs2SiSbBr6 at its relaxed geometry (GGA-PBE, Alexandria).

```
10
Lattice="-5.412 -3.350 -4.805 5.547 -5.034 -2.738 -1.269 -7.882 0.306" Properties=species:S:1:pos:R:3 pbc="T T T"
Cs -3.307 -7.712 -4.135
Cs 2.173 -8.554 -3.101
Sb 0.000 0.000 0.000
Si 0.067 -4.192 -3.771
Br -0.577 -5.971 -1.805
Br -0.557 -10.295 -5.431
Br 0.035 -2.170 -1.952
Br 0.100 -6.214 -5.590
Br -2.575 -3.786 -4.270
Br 2.710 -4.598 -3.273
```

Summary:
* formation energy (no corrections): -949 meV per atom
* space-group type: I4/mmm
* electronic total energy: -3.078 eV per atom
* size of the total moment: 0.00 μB/f.u.

---

> The highest size of the total moment belongs to which entry?

Cs2SbBr

---

What did the fifth record say?
# Cs3SbBr8

Crystalline Cs3SbBr8 at its relaxed geometry (GGA-PBE, Alexandria).

```
12
Lattice="8.146 0.000 0.000 0.000 8.146 0.000 -4.073 -4.073 8.184" Properties=species:S:1:pos:R:3 pbc="T T T"
Cs 4.073 0.000 4.092
Cs 4.073 4.073 0.000
Cs 0.000 4.073 4.092
Sb 0.000 0.000 0.000
Br 1.724 1.724 1.749
Br 1.724 6.422 1.749
Br -2.349 2.349 6.435
Br -2.349 -2.349 6.435
Br 6.422 6.422 1.749
Br 6.422 1.724 1.749
Br 2.349 -2.349 6.435
Br 2.349 2.349 6.435
```

Summary:
* formation energy (no corrections): -925 meV per atom
* space-group type: I4/mmm
* electronic total energy: -2.597 eV per atom
* size of the total moment: 1.85 μB/f.u.

---

Copy entry 5 word for word.
# Cs3SbBr8

Crystalline Cs3SbBr8 at its relaxed geometry (GGA-PBE, Alexandria).

```
12
Lattice="8.146 0.000 0.000 0.000 8.146 0.000 -4.073 -4.073 8.184" Properties=species:S:1:pos:R:3 pbc="T T T"
Cs 4.073 0.000 4.092
Cs 4.073 4.073 0.000
Cs 0.000 4.073 4.092
Sb 0.000 0.000 0.000
Br 1.724 1.724 1.749
Br 1.724 6.422 1.749
Br -2.349 2.349 6.435
Br -2.349 -2.349 6.435
Br 6.422 6.422 1.749
Br 6.422 1.724 1.749
Br 2.349 -2.349 6.435
Br 2.349 2.349 6.435
```

Summary:
* formation energy (no corrections): -925 meV per atom
* space-group type: I4/mmm
* electronic total energy: -2.597 eV per atom
* size of the total moment: 1.85 μB/f.u.